Entry 1:
# PBE SrMn2Ag, relaxed
# Formation energy from the elements (meV per atom): 623
data_SrMn2Ag
_space_group_name_H-M_alt 'I 4/m m m'
_space_group_IT_number 139
_space_group_name_Hall '-I 4 2'
_cell_length_a 4.316
_cell_length_b 4.316
_cell_length_c 9.307
_cell_angle_alpha 90.00
_cell_angle_beta 90.00
_cell_angle_gamma 90.00
loop_
_atom_site_label
_atom_site_type_symbol
_atom_site_fract_x
_atom_site_fract_y
_atom_site_fract_z
Sr1 Sr 0.000 0.000 0.000
Mn1 Mn 0.000 0.500 0.250
Ag1 Ag 0.000 0.000 0.500

Entry 2:
# PBE Ta2TiNi, relaxed
# Offset from the most stable computed form (kJ/mol of formula units): 0
# Formation energy from the elements (meV per atom): -78
data_Ta2TiNi
_space_group_name_H-M_alt 'P 4/m m m'
_space_group_IT_number 123
_space_group_name_Hall '-P 4 2'
_cell_length_a 2.955
_cell_length_b 2.955
_cell_length_c 7.420
_cell_angle_alpha 90.00
_cell_angle_beta 90.00
_cell_angle_gamma 90.00
loop_
_atom_site_label
_atom_site_type_symbol
_atom_site_fract_x
_atom_site_fract_y
_atom_site_fract_z
Ta1 Ta 0.000 0.000 0.231
Ti1 Ti 0.500 0.500 0.500
Ni1 Ni 0.500 0.500 0.000

Entry 3:
# PBE Tm8TlHg2, relaxed
# Formation energy from the elements (meV per atom): -113
data_Tm8TlHg2
_space_group_name_H-M_alt 'C 1 2/m 1'
_space_group_IT_number 12
_cell_length_a 8.738
_cell_length_b 14.249
_cell_length_c 5.432
_cell_angle_alpha 90.00
_cell_angle_beta 110.12
_cell_angle_gamma 90.00
loop_
_space_group_symop_operation_xyz
'x,y,z'
'-x,-y,-z'
'-x,y,-z'
'x,-y,z'
'x+1/2,y+1/2,z'
'-x+1/2,-y+1/2,-z'
'-x+1/2,y+1/2,-z'
'x+1/2,-y+1/2,z'
loop_
_atom_site_label
_atom_site_type_symbol
_atom_site_fract_x
_atom_site_fract_y
_atom_site_fract_z
Tm1 Tm 0.000 0.223 0.000
Tm2 Tm 0.103 0.500 0.800
Tm3 Tm 0.213 0.118 0.613
Tl1 Tl 0.000 0.000 0.000
Hg1 Hg 0.000 0.304 0.500

Entry 4:
# PBE Pm3Sm3Ho2, relaxed
# Offset from the most stable computed form (kJ/mol of formula units): 0
# Formation energy from the elements (meV per atom): 27
data_Pm3Sm3Ho2
_space_group_name_H-M_alt 'P m m n'
_space_group_IT_number 59
_cell_length_a 5.799
_cell_length_b 14.648
_cell_length_c 6.338
_cell_angle_alpha 90.00
_cell_angle_beta 90.00
_cell_angle_gamma 90.00
loop_
_space_group_symop_operation_xyz
'x,y,z'
'-x,-y,-z'
'-x+1/2,-y+1/2,z'
'x+1/2,y+1/2,-z'
'x+1/2,-y,-z'
'-x+1/2,y,z'
'-x,y+1/2,-z'
'x,-y+1/2,z'
loop_
_atom_site_label
_atom_site_type_symbol
_atom_site_fract_x
_atom_site_fract_y
_atom_site_fract_z
Pm1 Pm 0.250 0.124 0.168
Pm2 Pm 0.250 0.750 0.663
Sm1 Sm 0.250 0.000 0.667
Sm2 Sm 0.250 0.250 0.671
Ho1 Ho 0.250 0.625 0.164

Entry 5:
# PBE CsNiAs, relaxed
# Formation energy from the elements (meV per atom): 3
data_CsNiAs
_space_group_name_H-M_alt 'I 4 m m'
_space_group_IT_number 107
_space_group_name_Hall 'I 4 -2'
_cell_length_a 3.396
_cell_length_b 3.396
_cell_length_c 12.985
_cell_angle_alpha 90.00
_cell_angle_beta 90.00
_cell_angle_gamma 90.00
loop_
_atom_site_label
_atom_site_type_symbol
_atom_site_fract_x
_atom_site_fract_y
_atom_site_fract_z
Cs1 Cs 0.000 0.000 0.000
Ni1 Ni 0.000 0.000 0.269
As1 As 0.000 0.000 0.721

Entry 6:
# PBE KRhCl5, relaxed
# Uncorrected formation energy (eV per atom): -0.8250
data_KRhCl5
_space_group_name_H-M_alt 'C 1 2/c 1'
_space_group_IT_number 15
_cell_length_a 13.244
_cell_length_b 7.481
_cell_length_c 9.024
_cell_angle_alpha 90.00
_cell_angle_beta 110.98
_cell_angle_gamma 90.00
loop_
_space_group_symop_operation_xyz
'x,y,z'
'-x,-y,-z'
'-x,y,-z+1/2'
'x,-y,z+1/2'
'x+1/2,y+1/2,z'
'-x+1/2,-y+1/2,-z'
'-x+1/2,y+1/2,-z+1/2'
'x+1/2,-y+1/2,z+1/2'
loop_
_atom_site_label
_atom_site_type_symbol
_atom_site_fract_x
_atom_site_fract_y
_atom_site_fract_z
K1 K 0.000 0.022 0.250
Rh1 Rh 0.000 0.500 0.000
Cl1 Cl 0.000 0.394 0.750
Cl2 Cl 0.131 0.282 0.529
Cl3 Cl 0.135 0.288 0.112

How do the records compare in V? In the order shown, they have 173.3, 64.8, 635.0, 538.3, 149.7, 834.8 Å³/cell.